# LiFeAg

A geometry-optimized LiFeAg structure (PBE, Alexandria via LeMat-Bulk).

The magnetization is 12.2 μB per cell. For the energy relative to the lowest polymorph listed for this composition, the calculation gives 385 meV per atom.

It has space group F-43m (No. 216), with a = 6.031 Å, b = 6.031 Å, c = 6.031 Å, α = 90.00°, β = 90.00° and γ = 90.00°. The asymmetric unit holds Li at (0.000, 0.000, 0.000), Fe at (0.000, 0.000, 0.500) and Ag at (0.250, 0.250, 0.750).



# LiFeAg2

A geometry-optimized LiFeAg2 structure (PBE, Alexandria via LeMat-Bulk).

The magnetization is 2.8 μB per cell.

It has space group P2/m (No. 10), with a = 2.758 Å, b = 3.884 Å, c = 5.815 Å, α = 90.00°, β = 90.73° and γ = 90.00°. The asymmetric unit holds Li at (0.000, 0.000, 0.000), Fe at (0.000, 0.000, 0.500) and Ag at (0.497, 0.500, 0.252).



Asked for formation energy from the elements across the records above, the calculation gives 0.627, 0.171 eV per atom in order.